Entry 1:
The following is a DFT calculation (GGA-PBE) of Ni2SnSbTe after structural relaxation.

Results
ρ, Mg/m³: 6.0
Formation energy (no corrections), eV per formula unit: 3.003
DOS at the Fermi energy, states/eV/f.u.: 3.05
DFT total energy, eV/atom: -3.965
Total magnetization, μB per cell: 0.7

a = 4.7010 Å, b = 4.7010 Å, c = 6.1159 Å
α = 90.00°, β = 90.00°, γ = 90.00°
With the nearest neighbours (Å) after each atom.
Fractional positions:
Ni (0.0000, 0.5000, 0.0000)  2 Sb 2.35
Ni (0.5000, 0.0000, 0.0000)  2 Sb 2.35
Sn (0.0000, 0.0000, 0.5000)  4 Te 3.32
Sb (0.5000, 0.5000, 0.0000)  4 Ni 2.35
Te (0.5000, 0.5000, 0.5000)  2 Sb 3.06, 4 Sn 3.32

---

Entry 2:
The following is a DFT calculation (GGA-PBE) of SrSc2Nb after structural relaxation.

Results
Distance to the lowest polymorph of the same formula, eV per atom: 0.576
ρ, Mg/m³: 3.0
DOS at the Fermi energy, states/eV/f.u.: 3.83
Energy of formation from the pure elements, meV per atom: 1109.5
DFT total energy, eV/atom: -4.994
Total magnetization, μB per cell: 0.0

a = 8.5828 Å, b = 8.5828 Å, c = 8.5828 Å
α = 135.81°, β = 135.81°, γ = 64.28°
With the nearest neighbours (Å) after each atom.
Fractional positions:
Sr (0.3750, 0.6250, 0.7500)  8 Sc 4.04
Sr (0.6250, 0.3750, 0.2500)  8 Sc 4.04
Sc (0.0000, 0.0000, 0.0000)  2 Nb 2.43
Sc (0.0000, 0.0000, 0.5000)  2 Nb 2.43
Sc (0.0000, 0.5000, 0.0000)  2 Nb 2.43
Sc (0.5000, 0.0000, 0.5000)  2 Nb 2.43
Nb (0.1250, 0.8750, 0.2500)  4 Sc 2.43
Nb (0.8750, 0.1250, 0.7500)  4 Sc 2.43

---

Entry 3:
The following is a DFT calculation (GGA-PBE) of Na5Tm4Si4O16F after structural relaxation.

Results
ρ, Mg/m³: 5.4
Formation energy (no corrections), eV per formula unit: -88.535
DOS at the Fermi energy, states/eV/f.u.: 0.00
DFT total energy, eV/atom: -7.197
Total magnetization, μB per cell: 0.0

a = 8.5972 Å, b = 8.5972 Å, c = 8.5972 Å
α = 95.68°, β = 95.68°, γ = 143.33°
With the nearest neighbours (Å) after each atom.
Fractional positions:
Na (0.0000, 0.0000, 0.0000)  8 O 2.55-2.78, 2 F 2.70
Na (0.1138, 0.5986, 0.6945)  4 O 2.32-2.59
Na (0.4014, 0.0958, 0.5152)  4 O 2.32-2.59
Na (0.5807, 0.8862, 0.4848)  4 O 2.32-2.59
Na (0.9042, 0.4193, 0.3055)  4 O 2.32-2.59
Tm (0.3425, 0.4092, 0.7037)  7 O 2.24-2.50, 1 F 2.48
Tm (0.3612, 0.6575, 0.0667)  7 O 2.24-2.50, 1 F 2.48
Tm (0.5908, 0.2945, 0.9333)  7 O 2.24-2.50, 1 F 2.48
Tm (0.7055, 0.6388, 0.2963)  7 O 2.24-2.50, 1 F 2.48
Si (0.0925, 0.2348, 0.3516)  4 O 1.64-1.65
Si (0.2592, 0.9075, 0.1423)  4 O 1.64-1.65
Si (0.7652, 0.1169, 0.8577)  4 O 1.64-1.65
Si (0.8831, 0.7408, 0.6484)  4 O 1.64-1.65
O (0.0554, 0.2938, 0.8284)  1 Si 1.65
O (0.1262, 0.4034, 0.4999)  1 Si 1.64
O (0.1642, 0.1307, 0.4432)  1 Si 1.65
O (0.1850, 0.0491, 0.7657)  1 Si 1.64
O (0.2790, 0.8358, 0.9665)  1 Si 1.65
O (0.2835, 0.4193, 0.2343)  1 Si 1.64
O (0.3737, 0.8738, 0.2772)  1 Si 1.64
O (0.4655, 0.2270, 0.1716)  1 Si 1.65
O (0.5807, 0.8150, 0.8641)  1 Si 1.64
O (0.5966, 0.0965, 0.7228)  1 Si 1.64
O (0.6875, 0.7210, 0.5568)  1 Si 1.65
O (0.7062, 0.5345, 0.7616)  1 Si 1.65
O (0.7730, 0.9446, 0.2384)  1 Si 1.65
O (0.8693, 0.3125, 0.0335)  1 Si 1.65
O (0.9035, 0.6263, 0.5001)  1 Si 1.64
O (0.9509, 0.7165, 0.1359)  1 Si 1.64
F (0.5000, 0.5000, 0.0000)  4 Tm 2.48, 8 O 2.64-2.73, 2 Na 2.70

---

Entry 4:
The following is a DFT calculation (GGA-PBE) of NaTl2Tc after structural relaxation.

Results
Distance to the lowest polymorph of the same formula, eV per atom: 0.261
ρ, Mg/m³: 8.1
DOS at the Fermi energy, states/eV/f.u.: 2.50
Energy of formation from the pure elements, meV per atom: 826.0
DFT total energy, eV/atom: -3.278
Total magnetization, μB per cell: 4.4

a = 10.1705 Å, b = 10.1705 Å, c = 10.1705 Å
α = 152.96°, β = 152.96°, γ = 38.62°
With the nearest neighbours (Å) after each atom.
Fractional positions:
Na (0.0000, 0.0000, 0.0000)  4 Tl 3.01, 4 Tc 3.36
Na (0.7500, 0.2500, 0.5000)  4 Tl 3.01, 4 Tc 3.36
Tl (0.1651, 0.6250, 0.0401)  2 Tc 2.86, 2 Na 3.01, 2 Tl 3.10
Tl (0.3750, 0.4151, 0.5401)  2 Tc 2.86, 2 Na 3.01, 2 Tl 3.10
Tl (0.5849, 0.1250, 0.9599)  2 Tc 2.86, 2 Na 3.01, 2 Tl 3.10
Tl (0.8750, 0.8349, 0.4599)  2 Tc 2.86, 2 Na 3.01, 2 Tl 3.10
Tc (0.2500, 0.7500, 0.5000)  4 Tl 2.86
Tc (0.5000, 0.5000, 0.0000)  4 Tl 2.86

---

Entry 5:
The following is a DFT calculation (GGA-PBE) of Ge2H2Au after structural relaxation.

Results
Distance to the lowest polymorph of the same formula, eV per atom: 0.161
ρ, Mg/m³: 8.8
DOS at the Fermi energy, states/eV/f.u.: 1.52
DFT total energy, eV/atom: -3.446
Total magnetization, μB per cell: 0.0

a = 6.4584 Å, b = 6.4584 Å, c = 6.4584 Å
α = 150.50°, β = 150.50°, γ = 42.21°
With the nearest neighbours (Å) after each atom.
Fractional positions:
Ge (0.1438, 0.1438, 0.0000)  4 H 2.08
Ge (0.8562, 0.8562, 0.0000)  4 H 2.08
H (0.2500, 0.7500, 0.5000)  4 Ge 2.08, 4 H 2.33
H (0.7500, 0.2500, 0.5000)  4 Ge 2.08, 4 H 2.33
Au (0.5000, 0.5000, 0.0000)  8 Ge 2.90

---

Entry 6:
The following is a DFT calculation (GGA-PBE) of Hf3VRh2 after structural relaxation.

Results
ρ, Mg/m³: 12.5
DOS at the Fermi energy, states/eV/f.u.: 4.23
Energy of formation from the pure elements, meV per atom: -592.7
DFT total energy, eV/atom: -9.540
Total magnetization, μB per cell: 0.6

a = 3.2741 Å, b = 3.2741 Å, c = 9.7990 Å
α = 90.00°, β = 90.00°, γ = 90.00°
With the nearest neighbours (Å) after each atom.
Fractional positions:
Hf (0.0000, 0.0000, 0.0000)  8 Rh 2.79
Hf (0.0000, 0.0000, 0.3329)  4 V 2.84, 4 Rh 2.88
Hf (0.0000, 0.0000, 0.6671)  4 V 2.84, 4 Rh 2.88
V (0.5000, 0.5000, 0.5000)  8 Hf 2.84
Rh (0.5000, 0.5000, 0.1586)  8 Hf 2.79-2.88, 1 Rh 3.11
Rh (0.5000, 0.5000, 0.8414)  8 Hf 2.79-2.88, 1 Rh 3.11

---

Entry 7:
The following is a DFT calculation (GGA-PBE) of Hf2Ag2Ir after structural relaxation.

Results
Distance to the lowest polymorph of the same formula, eV per atom: 0.025
ρ, Mg/m³: 12.2
DOS at the Fermi energy, states/eV/f.u.: 4.88
Energy of formation from the pure elements, meV per atom: 154.2
DFT total energy, eV/atom: -6.740
Total magnetization, μB per cell: 0.0

a = 6.8729 Å, b = 6.8729 Å, c = 4.3968 Å
α = 90.00°, β = 90.00°, γ = 90.00°
With the nearest neighbours (Å) after each atom.
Fractional positions:
Hf (0.1595, 0.3405, 0.0000)  2 Ir 2.58
Hf (0.3405, 0.8405, 0.0000)  2 Ir 2.58
Hf (0.6595, 0.1595, 0.0000)  2 Ir 2.58
Hf (0.8405, 0.6595, 0.0000)  2 Ir 2.58
Ag (0.1427, 0.6427, 0.5000)  1 Ag 2.77, 6 Hf 2.92-3.03
Ag (0.3573, 0.1427, 0.5000)  1 Ag 2.77, 6 Hf 2.92-3.03
Ag (0.6427, 0.8573, 0.5000)  1 Ag 2.77, 6 Hf 2.92-3.03
Ag (0.8573, 0.3573, 0.5000)  1 Ag 2.77, 6 Hf 2.92-3.03
Ir (0.0000, 0.0000, 0.0000)  4 Hf 2.58
Ir (0.5000, 0.5000, 0.0000)  4 Hf 2.58

---

Entry 8:
The following is a DFT calculation (GGA-PBE) of Mg2InH after structural relaxation.

Results
Distance to the lowest polymorph of the same formula, eV per atom: 0.014
ρ, Mg/m³: 3.8
DOS at the Fermi energy, states/eV/f.u.: 0.81
DFT total energy, eV/atom: -2.387
Total magnetization, μB per cell: 0.0

a = 4.6753 Å, b = 4.5862 Å, c = 7.0536 Å
α = 90.00°, β = 109.13°, γ = 90.00°
With the nearest neighbours (Å) after each atom.
Fractional positions:
Mg (0.1596, 0.0000, 0.3285)  2 H 2.01
Mg (0.3316, 0.5000, 0.6723)  2 H 2.01
Mg (0.6684, 0.5000, 0.3277)  2 H 2.01
Mg (0.8404, 0.0000, 0.6715)  2 H 2.01
In (0.0000, 0.5000, 0.0000)  8 Mg 3.17-3.22, 4 In 3.27
In (0.5000, 0.0000, 0.0000)  8 Mg 3.17-3.21, 4 In 3.27
H (0.5000, 0.2498, 0.5000)  4 Mg 2.01
H (0.5000, 0.7502, 0.5000)  4 Mg 2.01

---

Entry 9:
The following is a DFT calculation (GGA-PBE) of BIrPtS2 after structural relaxation.

Results
ρ, Mg/m³: 7.2
Formation energy (no corrections), eV per formula unit: 9.565
DOS at the Fermi energy, states/eV/f.u.: 5.19
DFT total energy, eV/atom: -4.054
Total magnetization, μB per cell: 2.3

a = 4.5974 Å, b = 4.5974 Å, c = 5.0701 Å
α = 90.00°, β = 90.00°, γ = 90.00°
With the nearest neighbours (Å) after each atom.
Fractional positions:
B (0.0000, 0.0000, 0.0000)  4 Ir 3.25, 8 S 3.42
Ir (0.5000, 0.5000, 0.0000)  2 Pt 2.54
Pt (0.5000, 0.5000, 0.5000)  4 S 2.30, 2 Ir 2.54
S (0.0000, 0.5000, 0.5000)  2 Pt 2.30
S (0.5000, 0.0000, 0.5000)  2 Pt 2.30

---

Entry 10:
The following is a DFT calculation (GGA-PBE) of Th8SiTe4P3 after structural relaxation.

Results
ρ, Mg/m³: 9.0
Formation energy (no corrections), eV per formula unit: -20.347
DOS at the Fermi energy, states/eV/f.u.: 10.02
DFT total energy, eV/atom: -7.120
Total magnetization, μB per cell: 0.0

a = 8.8927 Å, b = 8.8927 Å, c = 8.8927 Å
α = 56.60°, β = 56.60°, γ = 56.60°
With the nearest neighbours (Å) after each atom.
Fractional positions:
Th (0.2320, 0.7383, 0.7383)  2 P 2.87, 1 Si 2.91
Th (0.2356, 0.2356, 0.2356)  3 P 2.88
Th (0.2617, 0.2617, 0.7680)  2 P 2.87, 1 Si 2.91
Th (0.2617, 0.7680, 0.2617)  2 P 2.87, 1 Si 2.91
Th (0.7383, 0.2320, 0.7383)  2 P 2.87, 1 Si 2.91
Th (0.7383, 0.7383, 0.2320)  2 P 2.87, 1 Si 2.91
Th (0.7644, 0.7644, 0.7644)  3 P 2.88
Th (0.7680, 0.2617, 0.2617)  2 P 2.87, 1 Si 2.91
Si (0.5000, 0.5000, 0.5000)  6 Th 2.91
Te (0.0000, 0.0000, 0.0000)  6 Th 3.24
Te (0.0000, 0.5000, 0.5000)  6 Th 3.27
Te (0.5000, 0.0000, 0.5000)  6 Th 3.27
Te (0.5000, 0.5000, 0.0000)  6 Th 3.27
P (0.0000, 0.0000, 0.5000)  6 Th 2.87-2.88
P (0.0000, 0.5000, 0.0000)  6 Th 2.87-2.88
P (0.5000, 0.0000, 0.0000)  6 Th 2.87-2.88

---

Entry 11:
The following is a DFT calculation (GGA-PBE) of Y2MgAg5 after structural relaxation.

Results
ρ, Mg/m³: 7.2
DOS at the Fermi energy, states/eV/f.u.: 3.64
Energy of formation from the pure elements, meV per atom: -223.1
DFT total energy, eV/atom: -3.820
Total magnetization, μB per cell: 0.0

a = 7.6271 Å, b = 7.6271 Å, c = 7.6271 Å
α = 141.56°, β = 141.56°, γ = 55.49°
With the nearest neighbours (Å) after each atom.
Fractional positions:
Y (0.2415, 0.2415, 0.0000)  9 Ag 3.06-3.26
Y (0.7585, 0.7585, 0.0000)  9 Ag 3.06-3.26
Mg (0.5000, 0.5000, 0.0000)  8 Ag 2.93
Ag (0.0000, 0.0000, 0.0000)  8 Ag 2.93, 2 Y 3.26
Ag (0.1117, 0.6117, 0.5000)  2 Mg 2.93, 3 Ag 2.93-3.02, 4 Y 3.06-3.20
Ag (0.3883, 0.8883, 0.5000)  3 Ag 2.93-3.02, 2 Mg 2.93, 4 Y 3.06-3.20
Ag (0.6117, 0.1117, 0.5000)  2 Mg 2.93, 3 Ag 2.93-3.02, 4 Y 3.06-3.20
Ag (0.8883, 0.3883, 0.5000)  3 Ag 2.93-3.02, 2 Mg 2.93, 4 Y 3.06-3.20

---

Entry 12:
The following is a DFT calculation (GGA-PBE) of RbCoI2N after structural relaxation.

Results
Distance to the lowest polymorph of the same formula, eV per atom: 0.000
ρ, Mg/m³: 5.3
Formation energy (no corrections), eV per formula unit: -0.128
DOS at the Fermi energy, states/eV/f.u.: 4.05
DFT total energy, eV/atom: -3.925
Total magnetization, μB per cell: 0.0

a = 6.0078 Å, b = 6.0078 Å, c = 3.5470 Å
α = 90.00°, β = 90.00°, γ = 90.00°
With the nearest neighbours (Å) after each atom.
Fractional positions:
Rb (0.0000, 0.0000, 0.0000)  8 I 3.49, 2 Rb 3.55
Co (0.5000, 0.5000, 0.5000)  2 N 1.77
I (0.0000, 0.5000, 0.5000)  2 Co 3.00
I (0.5000, 0.0000, 0.5000)  2 Co 3.00
N (0.5000, 0.5000, 0.0000)  2 Co 1.77